Record 1
The following is a DFT calculation (PBE-GGA) of a relaxed structure of CaMg6Sb.

- ΔE to the lowest computed polymorph (kJ/mol of atoms) = 0.5
- calculated volume (Å³/atom) = 24.9
- space group = No. 38
- formation energy (no corrections) (eV per atom) = -0.1170

```
8
Lattice="-4.337 4.099 -3.106 -1.899 -6.081 2.162 -1.332 2.031 4.541" Properties=species:S:1:pos:R:3 pbc="T T T"
Sb -4.164 1.611 0.978
Mg -2.092 -0.234 2.410
Mg -5.121 -1.196 1.952
Mg -4.958 -0.756 -1.117
Mg -3.006 -3.225 3.480
Mg -2.730 -2.609 0.365
Mg -1.642 0.298 -0.615
Ca -3.893 2.245 -2.146
```

=====

Record 2
The following is a DFT calculation (PBE-GGA) of a relaxed structure of Ca4MgSb.

- calculated volume (Å³/atom) = 35.4
- space group = No. 216
- formation energy (no corrections) (eV per atom) = 0.1462

```
6
Lattice="4.669 -3.929 2.757 -1.583 -3.970 5.154 -0.281 -6.636 -0.849" Properties=species:S:1:pos:R:3 pbc="T T T"
Ca 3.398 -7.416 4.030
Ca 1.049 -5.439 2.643
Ca 0.253 -7.437 5.236
Ca 0.908 -8.778 2.216
Mg 2.103 -10.901 5.296
Sb 0.000 0.000 0.000
```

=====

Record 3
The following is a DFT calculation (PBE-GGA) of a relaxed structure of CaMg6Sb.

- ΔE to the lowest computed polymorph (kJ/mol of atoms) = 0.0
- calculated volume (Å³/atom) = 24.7
- space group = No. 38
- formation energy (no corrections) (eV per atom) = -0.1222

```
8
Lattice="-3.703 4.643 -3.169 -2.633 -5.363 3.100 -0.360 2.742 4.438" Properties=species:S:1:pos:R:3 pbc="T T T"
Sb -3.171 -0.642 3.221
Ca -3.698 4.278 0.138
Mg -3.338 1.229 -1.030
Mg -1.853 1.990 1.701
Mg -4.683 -1.268 0.404
Mg -1.498 -0.906 0.439
Mg -2.810 -3.708 2.064
Mg -5.014 1.631 1.667
```

=====

Record 4
The following is a DFT calculation (PBE-GGA) of a relaxed structure of Ca4Mg2Sb.

- calculated volume (Å³/atom) = 40.7
- space group = No. 139
- formation energy (no corrections) (eV per atom) = -0.0609

```
7
Lattice="5.931 0.000 0.000 0.000 5.931 0.000 2.966 2.966 8.098" Properties=species:S:1:pos:R:3 pbc="T T T"
Mg 5.931 5.931 6.385
Mg 2.966 2.966 1.712
Ca 5.931 5.931 3.082
Ca 2.966 2.966 5.016
Ca 0.000 2.966 0.000
Ca 2.966 0.000 0.000
Sb 0.000 0.000 0.000
```

=====

Record 5
The following is a DFT calculation (PBE-GGA) of a relaxed structure of CaMg2Sb2.

- ΔE to the lowest computed polymorph (kJ/mol of atoms) = 32.7
- calculated volume (Å³/atom) = 26.0
- space group = No. 127
- formation energy (no corrections) (eV per atom) = -0.3786

```
10
Lattice="-2.716 -0.137 -7.879 7.549 -2.436 -2.560 -1.014 -3.574 0.412" Properties=species:S:1:pos:R:3 pbc="T T T"
Ca 2.416 -1.287 -5.220
Ca 0.000 0.000 0.000
Mg -0.768 -0.383 -5.215
Mg 2.520 -0.937 -1.930
Mg 5.600 -2.190 -5.224
Mg 2.313 -1.636 -8.509
Sb 4.130 -3.464 -2.937
Sb -0.033 -2.266 -2.784
Sb 3.852 -3.881 -7.243
Sb -0.311 -2.683 -7.090
```

=====

Record 6
The following is a DFT calculation (PBE-GGA) of a relaxed structure of CaMgSb.

- calculated volume (Å³/atom) = 26.3
- space group = No. 194
- formation energy (no corrections) (eV per atom) = -0.5563

```
6
Lattice="-0.482 -3.169 -3.998 -0.605 -1.781 4.769 -6.774 1.438 -0.323" Properties=species:S:1:pos:R:3 pbc="T T T"
Ca -3.387 0.719 -0.161
Ca 0.000 0.000 0.000
Mg -2.217 -2.347 -1.156
Mg -5.644 -1.165 1.605
Sb -2.258 -1.885 1.767
Sb -5.603 -1.628 -1.318
```